# 1
The following is a DFT calculation (GGA-PBE) of a relaxed structure of Y4PPt.

As for the energy of formation: 2.5 eV/f.u.

The structure belongs to space group F-43m (No. 216); the cell edges are 8.465, 8.465 and 8.465 Å and the angles 90.00°, 90.00° and 90.00°. The distinct sites, in fractional coordinates, are Y at (0.125, 0.125, 0.125), P at (0.250, 0.250, 0.750) and Pt at (0.000, 0.000, 0.500).



# 2
The following is a DFT calculation (GGA-PBE) of a relaxed structure of Ce2Tl3AsSe6.

The formation energy without anion corrections comes out at -0.931 eV per atom.

The structure belongs to space group C2/m (No. 12); the cell edges are 7.346, 12.710 and 8.081 Å and the angles 90.00°, 107.83° and 90.00°. The distinct sites, in fractional coordinates, are Ce at (0.000, 0.166, 0.000), Tl at (0.000, 0.000, 0.500), Tl at (0.000, 0.329, 0.500), As at (0.000, 0.500, 0.000), Se at (0.223, 0.343, 0.199) and Se at (0.245, 0.500, 0.793).



# 3
The following is a DFT calculation (GGA-PBE) of a relaxed structure of SrPmCu2Sn2.

As for the energy of formation: -3.1 eV/f.u.

The structure belongs to space group P-3m1 (No. 164); the cell edges are 4.6440, 4.6440 and 8.0580 Å and the angles 90.00°, 90.00° and 120.00°. The distinct sites, in fractional coordinates, are Sr at (0.0000, 0.0000, 0.0000), Pm at (0.0000, 0.0000, 0.5000), Cu at (0.3333, 0.6667, 0.7016) and Sn at (0.3333, 0.6667, 0.2800).



# 4
The following is a DFT calculation (GGA-PBE) of a relaxed structure of AcCeHo.

As for the energy of formation: 0.4 eV/f.u. The energy above the most stable polymorph in this dataset is 0 meV/atom.

The structure belongs to space group Cmcm (No. 63); the cell edges are 5.116, 15.695 and 5.150 Å and the angles 90.00°, 90.00° and 90.00°. The distinct sites, in fractional coordinates, are Ac at (0.000, 0.091, 0.250), Ce at (0.000, 0.249, 0.750) and Ho at (0.000, 0.409, 0.250).



# 5
The following is a DFT calculation (GGA-PBE) of a relaxed structure of TiCr2Se6.

The formation energy without anion corrections comes out at -0.677 eV per atom.

The structure belongs to space group C2/m (No. 12); the cell edges are 16.922, 3.474 and 7.884 Å and the angles 90.00°, 113.62° and 90.00°. The distinct sites, in fractional coordinates, are Ti at (0.000, 0.000, 0.000), Cr at (0.163, 0.500, 0.318), Se at (0.005, 0.500, 0.242), Se at (0.163, 0.000, 0.094) and Se at (0.177, 0.000, 0.560).



# 6
The following is a DFT calculation (GGA-PBE) of a relaxed structure of LaY3Tm5.

As for the energy of formation: 3.1 eV/f.u. The energy above the most stable polymorph in this dataset is 59 meV/atom.

The structure belongs to space group C2/c (No. 15); the cell edges are 19.103, 5.999 and 11.177 Å and the angles 90.00°, 113.03° and 90.00°. The distinct sites, in fractional coordinates, are La at (0.000, 0.134, 0.250), Y at (0.000, 0.000, 0.000), Y at (0.178, 0.230, 0.362), Tm at (0.000, 0.376, 0.750), Tm at (0.163, 0.258, 0.695) and Tm at (0.171, 0.257, 0.030).



# 7
The following is a DFT calculation (GGA-PBE) of a relaxed structure of MnSiAs2Se.

The formation energy without anion corrections comes out at 0.577 eV per atom. The energy above the most stable polymorph in this dataset is 0 meV/atom.

The structure belongs to space group P4/mmm (No. 123); the cell edges are 4.495, 4.495 and 5.236 Å and the angles 90.00°, 90.00° and 90.00°. The distinct sites, in fractional coordinates, are Mn at (0.000, 0.000, 0.000), Si at (0.500, 0.500, 0.500), As at (0.000, 0.500, 0.000) and Se at (0.000, 0.000, 0.500).



# 8
The following is a DFT calculation (GGA-PBE) of a relaxed structure of Ac2Cu3Sn6.

As for the energy of formation: -3.3 eV/f.u.

The structure belongs to space group P-62m (No. 189); the cell edges are 8.2262, 8.2262 and 4.8008 Å and the angles 90.00°, 90.00° and 120.00°. The distinct sites, in fractional coordinates, are Ac at (0.3333, 0.6667, 0.0000), Cu at (0.0000, 0.6534, 0.5000), Sn at (0.0000, 0.3329, 0.5000) and Sn at (0.0000, 0.7900, 0.0000).